Record 1
Compound: Tb3Sm2Tl2
Source: Alexandria via LeMat-Bulk
Functional: PBE-GGA
Structure: optimized geometry Values from VASP.

Results
Energy relative to the lowest polymorph listed for this composition   0 meV per atom

Quantum ESPRESSO input file:
```
&SYSTEM
  ibrav = 0, nat = 7, ntyp = 3
/
ATOMIC_SPECIES
Tb 158.93 Tb.upf
Sm 150.36 Sm.upf
Tl 204.38 Tl.upf
CELL_PARAMETERS angstrom
2.7305 1.5765 8.1476
-2.7305 1.5765 8.1476
0.0000 -3.1529 8.1476
ATOMIC_POSITIONS crystal
Tb 0.0000 0.0000 0.0000
Tb 0.1541 0.1541 0.1541
Tb 0.8459 0.8459 0.8459
Sm 0.4243 0.4243 0.4243
Sm 0.5757 0.5757 0.5757
Tl 0.2833 0.2833 0.2833
Tl 0.7167 0.7167 0.7167
```

Record 2
Compound: Tb2Sm6Tl
Source: Alexandria via LeMat-Bulk
Functional: PBE-GGA
Structure: optimized geometry Values from VASP.

Results
Energy relative to the lowest polymorph listed for this composition   26 meV per atom

Quantum ESPRESSO input file:
```
&SYSTEM
  ibrav = 0, nat = 18, ntyp = 3
/
ATOMIC_SPECIES
Tb 158.93 Tb.upf
Sm 150.36 Sm.upf
Tl 204.38 Tl.upf
CELL_PARAMETERS angstrom
10.7984 0.0000 0.0000
0.0000 10.7984 0.0000
0.0000 0.0000 4.9589
ATOMIC_POSITIONS crystal
Tb 0.1621 0.1621 0.0000
Tb 0.3379 0.6621 0.5000
Tb 0.6621 0.3379 0.5000
Tb 0.8379 0.8379 0.0000
Sm 0.0006 0.6651 0.5000
Sm 0.1604 0.8396 0.0000
Sm 0.1651 0.4994 0.0000
Sm 0.3349 0.9994 0.5000
Sm 0.3396 0.3396 0.5000
Sm 0.4994 0.1651 0.0000
Sm 0.5006 0.8349 0.0000
Sm 0.6604 0.6604 0.5000
Sm 0.6651 0.0006 0.5000
Sm 0.8349 0.5006 0.0000
Sm 0.8396 0.1604 0.0000
Sm 0.9994 0.3349 0.5000
Tl 0.0000 0.0000 0.5000
Tl 0.5000 0.5000 0.0000
```

Record 3
Compound: Tb3Sm3Tl5
Source: Alexandria via LeMat-Bulk
Functional: PBE-GGA
Structure: optimized geometry Values from VASP.

Quantum ESPRESSO input file:
```
&SYSTEM
  ibrav = 0, nat = 11, ntyp = 3
/
ATOMIC_SPECIES
Tb 158.93 Tb.upf
Sm 150.36 Sm.upf
Tl 204.38 Tl.upf
CELL_PARAMETERS angstrom
9.3161 0.0000 0.0000
-4.6581 8.0680 0.0000
0.0000 0.0000 5.6579
ATOMIC_POSITIONS crystal
Tb 0.0000 0.3136 0.0000
Tb 0.3136 0.0000 0.0000
Tb 0.6864 0.6864 0.0000
Sm 0.0000 0.5654 0.5000
Sm 0.4346 0.4346 0.5000
Sm 0.5654 0.0000 0.5000
Tl 0.0000 0.6801 0.0000
Tl 0.3199 0.3199 0.0000
Tl 0.3333 0.6667 0.0000
Tl 0.6667 0.3333 0.0000
Tl 0.6801 0.0000 0.0000
```

Record 4
Compound: TbSmTl
Source: Alexandria via LeMat-Bulk
Functional: PBE-GGA
Structure: optimized geometry Values from VASP.

Results
Energy relative to the lowest polymorph listed for this composition   119 meV per atom

Quantum ESPRESSO input file:
```
&SYSTEM
  ibrav = 0, nat = 6, ntyp = 3
/
ATOMIC_SPECIES
Tb 158.93 Tb.upf
Sm 150.36 Sm.upf
Tl 204.38 Tl.upf
CELL_PARAMETERS angstrom
3.5879 0.0000 0.0000
0.0000 8.2314 0.0000
0.0000 0.0000 6.4540
ATOMIC_POSITIONS crystal
Tb 0.0000 0.0310 0.0000
Tb 0.5000 0.9690 0.5000
Sm 0.0000 0.6269 0.7619
Sm 0.5000 0.3731 0.2619
Tl 0.0000 0.6995 0.2633
Tl 0.5000 0.3005 0.7633
```

Record 5
Compound: Tb3SmTl2
Source: Alexandria via LeMat-Bulk
Functional: PBE-GGA
Structure: optimized geometry Values from VASP.

Results
Energy relative to the lowest polymorph listed for this composition   103 meV per atom

Quantum ESPRESSO input file:
```
&SYSTEM
  ibrav = 0, nat = 12, ntyp = 3
/
ATOMIC_SPECIES
Tb 158.93 Tb.upf
Sm 150.36 Sm.upf
Tl 204.38 Tl.upf
CELL_PARAMETERS angstrom
8.2616 -2.7017 0.0000
8.2616 2.7017 0.0000
-4.6149 0.0000 8.1088
ATOMIC_POSITIONS crystal
Tb 0.0589 0.0589 0.2150
Tb 0.3066 0.3066 0.5059
Tb 0.3833 0.3833 0.9564
Tb 0.6167 0.6167 0.0436
Tb 0.6934 0.6934 0.4941
Tb 0.9411 0.9411 0.7850
Sm 0.1302 0.1302 0.6715
Sm 0.8698 0.8698 0.3285
Tl 0.2232 0.2232 0.0925
Tl 0.4801 0.4801 0.3274
Tl 0.5199 0.5199 0.6726
Tl 0.7768 0.7768 0.9075
```

Record 6
Compound: Tb2SmTl9
Source: Alexandria via LeMat-Bulk
Functional: PBE-GGA
Structure: optimized geometry Values from VASP.

Quantum ESPRESSO input file:
```
&SYSTEM
  ibrav = 0, nat = 12, ntyp = 3
/
ATOMIC_SPECIES
Tb 158.93 Tb.upf
Sm 150.36 Sm.upf
Tl 204.38 Tl.upf
CELL_PARAMETERS angstrom
4.7853 0.0000 0.0000
0.0000 4.7853 0.0000
0.0000 0.0000 14.3520
ATOMIC_POSITIONS crystal
Tb 0.0000 0.0000 0.1659
Tb 0.0000 0.0000 0.8341
Sm 0.0000 0.0000 0.5000
Tl 0.0000 0.5000 0.0000
Tl 0.0000 0.5000 0.3317
Tl 0.0000 0.5000 0.6683
Tl 0.5000 0.0000 0.0000
Tl 0.5000 0.0000 0.3317
Tl 0.5000 0.0000 0.6683
Tl 0.5000 0.5000 0.1661
Tl 0.5000 0.5000 0.5000
Tl 0.5000 0.5000 0.8339
```

Record 7
Compound: Tb2SmTl4
Source: Alexandria via LeMat-Bulk
Functional: PBE-GGA
Structure: optimized geometry Values from VASP.

Results
Energy relative to the lowest polymorph listed for this composition   0 meV per atom

Quantum ESPRESSO input file:
```
&SYSTEM
  ibrav = 0, nat = 7, ntyp = 3
/
ATOMIC_SPECIES
Tb 158.93 Tb.upf
Sm 150.36 Sm.upf
Tl 204.38 Tl.upf
CELL_PARAMETERS angstrom
-3.8086 3.8086 3.7094
3.8086 -3.8086 3.7094
3.8086 3.8086 -3.7094
ATOMIC_POSITIONS crystal
Tb 0.0000 0.5000 0.5000
Tb 0.5000 0.0000 0.5000
Sm 0.0000 0.0000 0.0000
Tl 0.0000 0.0000 0.5000
Tl 0.0000 0.5000 0.0000
Tl 0.5000 0.0000 0.0000
Tl 0.5000 0.5000 0.5000
```

Record 8
Compound: Tb6Sm3Tl
Source: Alexandria via LeMat-Bulk
Functional: PBE-GGA
Structure: optimized geometry Values from VASP.

Results
Energy relative to the lowest polymorph listed for this composition   15 meV per atom

Quantum ESPRESSO input file:
```
&SYSTEM
  ibrav = 0, nat = 20, ntyp = 3
/
ATOMIC_SPECIES
Tb 158.93 Tb.upf
Sm 150.36 Sm.upf
Tl 204.38 Tl.upf
CELL_PARAMETERS angstrom
5.5158 -9.5046 0.0000
5.5158 9.5046 0.0000
0.0000 0.0000 6.1534
ATOMIC_POSITIONS crystal
Tb 0.0537 0.4818 0.1039
Tb 0.0583 0.9417 0.5000
Tb 0.2704 0.7296 0.7753
Tb 0.2874 0.3894 0.9127
Tb 0.3894 0.2874 0.4127
Tb 0.4818 0.0537 0.6039
Tb 0.5182 0.9463 0.1039
Tb 0.6106 0.7126 0.9127
Tb 0.7126 0.6106 0.4127
Tb 0.7296 0.2704 0.2753
Tb 0.9417 0.0583 0.0000
Tb 0.9463 0.5182 0.6039
Sm 0.0587 0.2671 0.4821
Sm 0.2671 0.0587 0.9821
Sm 0.3932 0.6068 0.3910
Sm 0.6068 0.3932 0.8910
Sm 0.7329 0.9413 0.4821
Sm 0.9413 0.7329 0.9821
Tl 0.2137 0.7863 0.2997
Tl 0.7863 0.2137 0.7997
```

Record 9
Compound: Tb3Sm5Tl3
Source: Alexandria via LeMat-Bulk
Functional: PBE-GGA
Structure: optimized geometry Values from VASP.

Quantum ESPRESSO input file:
```
&SYSTEM
  ibrav = 0, nat = 11, ntyp = 3
/
ATOMIC_SPECIES
Tb 158.93 Tb.upf
Sm 150.36 Sm.upf
Tl 204.38 Tl.upf
CELL_PARAMETERS angstrom
11.0154 0.0000 0.0000
-5.5077 9.5396 0.0000
0.0000 0.0000 3.4785
ATOMIC_POSITIONS crystal
Tb 0.0000 0.6064 0.0000
Tb 0.3936 0.3936 0.0000
Tb 0.6064 0.0000 0.0000
Sm 0.0000 0.2984 0.0000
Sm 0.2984 0.0000 0.0000
Sm 0.3333 0.6667 0.0000
Sm 0.6667 0.3333 0.0000
Sm 0.7016 0.7016 0.0000
Tl 0.0000 0.8379 0.5000
Tl 0.1621 0.1621 0.5000
Tl 0.8379 0.0000 0.5000
```

Record 10
Compound: TbSm6Tl
Source: Alexandria via LeMat-Bulk
Functional: PBE-GGA
Structure: optimized geometry Values from VASP.

Quantum ESPRESSO input file:
```
&SYSTEM
  ibrav = 0, nat = 8, ntyp = 3
/
ATOMIC_SPECIES
Tb 158.93 Tb.upf
Sm 150.36 Sm.upf
Tl 204.38 Tl.upf
CELL_PARAMETERS angstrom
4.9757 0.0000 0.0000
0.0000 4.9757 0.0000
0.0000 0.0000 10.2697
ATOMIC_POSITIONS crystal
Tb 0.0000 0.0000 0.0000
Sm 0.0000 0.5000 0.2555
Sm 0.0000 0.5000 0.7445
Sm 0.5000 0.0000 0.2555
Sm 0.5000 0.0000 0.7445
Sm 0.5000 0.5000 0.0000
Sm 0.5000 0.5000 0.5000
Tl 0.0000 0.0000 0.5000
```

Record 11
Compound: Tb6Sm5Tl
Source: Alexandria via LeMat-Bulk
Functional: PBE-GGA
Structure: optimized geometry Values from VASP.

Quantum ESPRESSO input file:
```
&SYSTEM
  ibrav = 0, nat = 12, ntyp = 3
/
ATOMIC_SPECIES
Tb 158.93 Tb.upf
Sm 150.36 Sm.upf
Tl 204.38 Tl.upf
CELL_PARAMETERS angstrom
-2.4958 5.0411 7.5718
2.4958 -5.0411 7.5718
2.4958 5.0411 -7.5718
ATOMIC_POSITIONS crystal
Tb 0.0805 0.3348 0.7457
Tb 0.2444 0.0000 0.2444
Tb 0.4109 0.6652 0.7457
Tb 0.5891 0.3348 0.2543
Tb 0.7556 0.0000 0.7556
Tb 0.9195 0.6652 0.2543
Sm 0.1684 0.1684 0.0000
Sm 0.3370 0.8370 0.5000
Sm 0.5000 0.5000 0.0000
Sm 0.6630 0.1630 0.5000
Sm 0.8316 0.8316 0.0000
Tl 0.0000 0.5000 0.5000
```

Record 12
Compound: Tb4Sm5Tl
Source: Alexandria via LeMat-Bulk
Functional: PBE-GGA
Structure: optimized geometry Values from VASP.

Results
Energy relative to the lowest polymorph listed for this composition   119 meV per atom

Quantum ESPRESSO input file:
```
&SYSTEM
  ibrav = 0, nat = 10, ntyp = 3
/
ATOMIC_SPECIES
Tb 158.93 Tb.upf
Sm 150.36 Sm.upf
Tl 204.38 Tl.upf
CELL_PARAMETERS angstrom
-5.3295 5.3295 2.9720
5.3295 -5.3295 2.9720
5.3295 5.3295 -2.9720
ATOMIC_POSITIONS crystal
Tb 0.0000 0.3174 0.3174
Tb 0.0000 0.6826 0.6826
Tb 0.3174 0.0000 0.3174
Tb 0.6826 0.0000 0.6826
Sm 0.2005 0.2005 0.0000
Sm 0.3003 0.3003 0.6260
Sm 0.3003 0.6743 0.0000
Sm 0.6743 0.3003 0.0000
Sm 0.6743 0.6743 0.3740
Tl 0.7215 0.7215 0.0000
```

| no. | V (Å³/atom) | ΔH_f (0 K) (eV per formula unit) |
| --- | --- | --- |
| 1 | 30.06 | -1.43 |
| 2 | 32.12 | -0.33 |
| 3 | 38.66 | 3.19 |
| 4 | 31.77 | -0.44 |
| 5 | 30.17 | -1.01 |
| 6 | 27.39 | -3.19 |
| 7 | 30.75 | -1.61 |
| 8 | 32.26 | 0.31 |
| 9 | 33.23 | 2.11 |
| 10 | 31.78 | -0.65 |
| 11 | 31.76 | -0.36 |
| 12 | 33.77 | 1.47 |